Crystalline NdAlSi2 at its relaxed geometry, computed with PBE-GGA.

Properties
Density   4.539 g/cm³
ΔE_f (raw)   2.6 meV/atom
DOS(E_F)   0.84 states/eV per atom
Magnetic moment   0.000 μB/cell
Space-group type   No. 166

a b c (Å): 5.1433 5.1433 4.6910
angles (deg): 56.76 56.76 60.00
Fractional coordinates of all 4 atoms:
Al1 0.0000 0.0000 0.0000
Si1 0.2309 0.2309 0.3074
Si2 0.7691 0.7691 0.6926
Nd1 0.5000 0.5000 0.5000